[1]
Density functional theory data (PBE-GGA) for an optimized crystal structure of Cr3BiH.

abc: 4.046 4.046 4.046
angles: 90.00 90.00 90.00
Space group Pm-3m (No. 221)
Unique sites:
Cr 0.000 0.000 0.500 [3 per cell]
Bi 0.500 0.500 0.500 [1 per cell]
H 0.000 0.000 0.000 [1 per cell]

Output
- final energy (eV per cell) = -33.66
- energy above the most stable polymorph in this dataset (eV/atom) = 0.000
- M_tot (μB/atom) = 1.49

***

[2]
Density functional theory data (PBE-GGA) for an optimized crystal structure of Cr2BiHIr.

abc: 4.982 4.982 3.507
angles: 90.00 90.00 90.00
Space group P4/mmm (No. 123)
Unique sites:
Cr 0.000 0.500 0.000 [2 per cell]
Bi 0.000 0.000 0.500 [1 per cell]
H 0.500 0.500 0.500 [1 per cell]
Ir 0.500 0.500 0.000 [1 per cell]

Output
- final energy (eV per cell) = -32.09
- M_tot (μB/atom) = 1.41

***

[3]
Density functional theory data (PBE-GGA) for an optimized crystal structure of CrBi2MoH.

abc: 5.010 5.010 3.475
angles: 90.00 90.00 90.00
Space group P4/mmm (No. 123)
Unique sites:
Cr 0.000 0.000 0.000 [1 per cell]
Bi 0.000 0.500 0.500 [2 per cell]
Mo 0.500 0.500 0.000 [1 per cell]
H 0.000 0.000 0.500 [1 per cell]

Output
- final energy (eV per cell) = -28.62
- M_tot (μB/atom) = 0.34

***

[4]
Density functional theory data (PBE-GGA) for an optimized crystal structure of CrBiHPd2.

abc: 4.180 4.180 4.208
angles: 90.00 90.00 90.00
Space group P4/mmm (No. 123)
Unique sites:
Cr 0.000 0.000 0.000 [1 per cell]
Bi 0.500 0.500 0.000 [1 per cell]
H 0.000 0.000 0.500 [1 per cell]
Pd 0.000 0.500 0.500 [2 per cell]

Output
- final energy (eV per cell) = -27.26
- M_tot (μB/atom) = 0.67

***

[5]
Density functional theory data (PBE-GGA) for an optimized crystal structure of CrBiHRh2.

abc: 4.123 4.123 4.035
angles: 90.00 90.00 90.00
Space group P4/mmm (No. 123)
Unique sites:
Cr 0.000 0.000 0.000 [1 per cell]
Bi 0.500 0.500 0.000 [1 per cell]
H 0.000 0.000 0.500 [1 per cell]
Rh 0.000 0.500 0.500 [2 per cell]

Output
- final energy (eV per cell) = -31.51
- M_tot (μB/atom) = 0.70

***

[6]
Density functional theory data (PBE-GGA) for an optimized crystal structure of CrBiHS2.

abc: 4.741 4.741 3.698
angles: 90.00 90.00 90.00
Space group P4/mmm (No. 123)
Unique sites:
Cr 0.000 0.000 0.000 [1 per cell]
Bi 0.500 0.500 0.000 [1 per cell]
H 0.500 0.500 0.500 [1 per cell]
S 0.000 0.500 0.500 [2 per cell]

Output
- final energy (eV per cell) = -20.34
- M_tot (μB/atom) = 0.06